Record 1
Entry from the Open Quantum Materials Database: a relaxed YHgSeO crystal (PBE).

Cell: 8.008 7.291 6.809 Å, 90.00 91.99 90.00°
Positions (direct):
Y: 0.004 0.145 0.307
Y: 0.004 0.355 0.807
Y: 0.996 0.645 0.193
Y: 0.996 0.855 0.693
Hg: 0.407 0.645 0.017
Hg: 0.407 0.855 0.517
Hg: 0.593 0.145 0.483
Hg: 0.593 0.355 0.983
Se: 0.233 0.567 0.552
Se: 0.233 0.933 0.052
Se: 0.767 0.067 0.948
Se: 0.767 0.433 0.448
O: 0.087 0.133 0.612
O: 0.087 0.367 0.112
O: 0.913 0.633 0.888
O: 0.913 0.867 0.388

Electronic total energy = -5.58 eV per atom
ΔE to the lowest computed polymorph = 87.3 meV per atom

Record 2
Entry from the Open Quantum Materials Database: a relaxed Si3Os2 crystal (PBE).

Cell: 5.643 5.643 8.930 Å, 90.00 90.00 90.00°
Positions (direct):
Si: 0.144 0.293 0.410
Si: 0.144 0.707 0.910
Si: 0.293 0.144 0.090
Si: 0.293 0.856 0.590
Si: 0.332 0.332 0.750
Si: 0.332 0.668 0.250
Si: 0.668 0.332 0.250
Si: 0.668 0.668 0.750
Si: 0.707 0.144 0.590
Si: 0.707 0.856 0.090
Si: 0.856 0.293 0.910
Si: 0.856 0.707 0.410
Os: 0.000 0.000 0.250
Os: 0.000 0.000 0.750
Os: 0.000 0.500 0.128
Os: 0.000 0.500 0.628
Os: 0.500 0.000 0.372
Os: 0.500 0.000 0.872
Os: 0.500 0.500 0.000
Os: 0.500 0.500 0.500

Electronic total energy = -8.17 eV per atom

Record 3
Entry from the Open Quantum Materials Database: a relaxed CdCo crystal (PBE).

Cell: 4.709 4.709 4.709 Å, 35.53 35.53 35.53°
Positions (direct):
Cd: 0.000 0.000 0.000
Co: 0.500 0.500 0.500

Electronic total energy = -3.57 eV per atom
Formation energy = 0.428 eV per atom

Record 4
Entry from the Open Quantum Materials Database: a relaxed ErPuBi crystal (PBE).

Cell: 5.217 5.217 5.217 Å, 60.00 60.00 60.00°
Positions (direct):
Er: 0.000 0.000 0.000
Pu: 0.250 0.250 0.250
Bi: 0.750 0.750 0.750

Electronic total energy = -7.46 eV per atom

Record 5
Entry from the Open Quantum Materials Database: a relaxed Sr5Pr2Pb3N2 crystal (PBE).

Cell: 13.235 13.235 5.164 Å, 90.00 90.00 157.38°
Positions (direct):
Sr: 0.000 0.000 0.000
Sr: 0.098 0.902 0.500
Sr: 0.200 0.800 0.000
Sr: 0.800 0.200 0.000
Sr: 0.902 0.098 0.500
Pr: 0.398 0.602 0.000
Pr: 0.602 0.398 0.000
Pb: 0.308 0.692 0.500
Pb: 0.500 0.500 0.500
Pb: 0.692 0.308 0.500
N: 0.102 0.898 0.000
N: 0.898 0.102 0.000

Electronic total energy = -4.48 eV per atom
ΔE to the lowest computed polymorph = 5.0 meV per atom

Record 6
Entry from the Open Quantum Materials Database: a relaxed Li6Cd5Pb crystal (PBE).

Cell: 7.314 7.314 6.852 Å, 90.00 90.00 143.07°
Positions (direct):
Li: 0.000 0.000 0.245
Li: 0.000 0.000 0.755
Li: 0.332 0.668 0.246
Li: 0.332 0.668 0.754
Li: 0.668 0.332 0.246
Li: 0.668 0.332 0.754
Cd: 0.167 0.833 0.000
Cd: 0.170 0.830 0.500
Cd: 0.500 0.500 0.000
Cd: 0.830 0.170 0.500
Cd: 0.833 0.167 0.000
Pb: 0.500 0.500 0.500

Electronic total energy = -1.91 eV per atom

Record 7
Entry from the Open Quantum Materials Database: a relaxed AcHoPO crystal (PBE).

Cell: 4.634 4.634 8.516 Å, 90.00 90.00 90.00°
Positions (direct):
Ac: 0.250 0.750 0.000
Ac: 0.750 0.250 0.000
Ho: 0.250 0.250 0.440
Ho: 0.750 0.750 0.560
P: 0.250 0.250 0.779
P: 0.750 0.750 0.221
O: 0.250 0.750 0.500
O: 0.750 0.250 0.500

Electronic total energy = -6.36 eV per atom
ΔE to the lowest computed polymorph = 451.6 meV per atom

Record 8
Entry from the Open Quantum Materials Database: a relaxed Ba2ZnBiSb crystal (PBE).

Cell: 9.578 9.578 8.454 Å, 90.00 90.00 150.40°
Positions (direct):
Ba: 0.029 0.971 0.500
Ba: 0.205 0.795 0.186
Ba: 0.795 0.205 0.686
Ba: 0.971 0.029 0.000
Zn: 0.412 0.588 0.361
Zn: 0.588 0.412 0.861
Bi: 0.163 0.837 0.782
Bi: 0.837 0.163 0.282
Sb: 0.437 0.563 0.707
Sb: 0.563 0.437 0.207

Electronic total energy = -3.43 eV per atom

Which formula does entry 4 have? ErPuBi